No. 1
VASP calculation (PBE) on a relaxed LiCaW2 crystal.

## Properties
Total DFT energy (no corrections) ... -0.246 Ha/atom
D(E_F) ... 3.18 states/eV/f.u.
Symmetry ... R3m, No. 160
Calculated formation energy ... 0.764 eV/atom

a b c (Å): 2.8689 2.8689 31.6902
angles (deg): 90.00 90.00 120.00
With the nearest neighbours (Å) after each atom.
Fractional coordinates of all 12 atoms:
Li 0.0000 0.0000 0.0000  6 Li 2.87, 3 W 2.95
Li 0.3333 0.6667 0.6667  6 Li 2.87, 3 W 2.95
Li 0.6667 0.3333 0.3333  6 Li 2.87, 3 W 2.95
Ca 0.0000 0.0000 0.2379  6 Ca 2.87, 3 W 3.16
Ca 0.3333 0.6667 0.9046  6 Ca 2.87, 3 W 3.16
Ca 0.6667 0.3333 0.5712  6 Ca 2.87, 3 W 3.16
W 0.0000 0.0000 0.4863  9 W 2.87-2.92, 3 Ca 3.16
W 0.0000 0.0000 0.7438  9 W 2.87-2.92, 3 Li 2.95
W 0.3333 0.6667 0.1529  9 W 2.87-2.92, 3 Ca 3.16
W 0.3333 0.6667 0.4104  9 W 2.87-2.92, 3 Li 2.95
W 0.6667 0.3333 0.0771  9 W 2.87-2.92, 3 Li 2.95
W 0.6667 0.3333 0.8196  9 W 2.87-2.92, 3 Ca 3.16



No. 2
VASP calculation (PBE) on a relaxed ZrSb2Cl crystal.

## Properties
Total DFT energy (no corrections) ... -0.194 Ha/atom
D(E_F) ... 1.56 states/eV/f.u.
Symmetry ... Pm, No. 6
Formation energy without anion corrections ... -0.6100 eV/atom

a b c (Å): 3.7157 3.6573 8.7780
angles (deg): 90.00 102.06 90.00
With the nearest neighbours (Å) after each atom.
Fractional coordinates of all 4 atoms:
Zr 0.0000 0.0000 0.0000  2 Cl 2.62
Sb 0.1815 0.0000 0.3685  4 Sb 3.15-3.16, 1 Zr 3.16
Sb 0.5797 0.5000 0.1613  4 Zr 2.95, 4 Sb 3.15-3.16
Cl 0.8931 0.5000 0.7822  2 Zr 2.62



No. 3
VASP calculation (PBE) on a relaxed TlIr2Cl crystal.

## Properties
Total DFT energy (no corrections) ... -0.167 Ha/atom
D(E_F) ... 5.83 states/eV/f.u.
Symmetry ... I-4m2, No. 119
Formation energy without anion corrections ... 0.9453 eV/atom

a b c (Å): 5.1327 5.1327 5.5059
angles (deg): 90.00 90.00 90.00
With the nearest neighbours (Å) after each atom.
Fractional coordinates of all 8 atoms:
Tl 0.0000 0.0000 0.0000  6 Ir 2.75-2.91, 4 Cl 2.91
Tl 0.5000 0.5000 0.5000  6 Ir 2.75-2.91, 4 Cl 2.91
Ir 0.0000 0.0000 0.5000  2 Tl 2.75, 4 Cl 2.91, 4 Ir 2.91
Ir 0.0000 0.5000 0.7500  2 Cl 2.75, 4 Tl 2.91, 4 Ir 2.91
Ir 0.5000 0.0000 0.2500  2 Cl 2.75, 4 Tl 2.91, 4 Ir 2.91
Ir 0.5000 0.5000 0.0000  2 Tl 2.75, 4 Cl 2.91, 4 Ir 2.91
Cl 0.0000 0.5000 0.2500  6 Ir 2.75-2.91, 4 Tl 2.91
Cl 0.5000 0.0000 0.7500  6 Ir 2.75-2.91, 4 Tl 2.91



No. 4
VASP calculation (PBE) on a relaxed La2Y crystal.

## Properties
Total DFT energy (no corrections) ... -0.196 Ha/atom
D(E_F) ... 7.01 states/eV/f.u.
Symmetry ... I4/mmm, No. 139
Calculated formation energy ... 0.097 eV/atom

a b c (Å): 4.3122 4.3122 11.5134
angles (deg): 90.00 90.00 90.00
With the nearest neighbours (Å) after each atom.
Fractional coordinates of all 6 atoms:
La 0.0000 0.0000 0.1575  5 Y 3.55-3.94, 5 La 3.63-3.72
La 0.0000 0.0000 0.8425  5 Y 3.55-3.94, 5 La 3.63-3.72
La 0.5000 0.5000 0.3425  5 Y 3.55-3.94, 5 La 3.63-3.72
La 0.5000 0.5000 0.6575  5 Y 3.55-3.94, 5 La 3.63-3.72
Y 0.0000 0.0000 0.5000  10 La 3.55-3.94
Y 0.5000 0.5000 0.0000  10 La 3.55-3.94